Entry from Alexandria via LeMat-Bulk: Tl2ZnIn2 after structural relaxation (PBE).

## Properties
VASP energy in eV/atom: -2.03
Calculated formation energy in meV/atom: 271

The structure in POSCAR format:
```
Tl2ZnIn2
1.0
-2.205 2.205 7.801
2.205 -2.205 7.801
2.205 2.205 -7.801
Tl Zn In
2 1 2
Direct
0.250 0.750 0.500
0.750 0.250 0.500
0.000 0.000 0.000
0.406 0.406 0.000
0.594 0.594 0.000
```